(1)
## Pr3Ni8Sn (PBE-GGA)

Data for a relaxed Pr3Ni8Sn crystal.

## Properties
Magnetic moment = 0.00 μB per cell
Final energy = -68.0 eV for the cell shown
Energy of formation from the pure elements = -0.284 eV per atom
Space group = No. 160
D(E_F) = 0.8739 states/eV/atom

```
12
Lattice="5.151 0.000 0.000 2.576 4.461 0.000 2.576 1.487 8.389" Properties=species:S:1:pos:R:3 pbc="T T T"
Pr 5.151 2.974 7.309
Pr 7.727 4.461 0.140
Pr 5.151 2.974 4.102
Ni 6.444 2.228 1.589
Ni 6.444 5.202 5.723
Ni 3.859 2.228 1.589
Ni 9.011 5.202 5.723
Ni 2.576 1.487 3.642
Ni 7.727 4.461 7.838
Ni 5.151 4.467 1.589
Ni 7.727 2.979 5.723
Sn 7.727 4.461 3.270
```

***

(2)
## Pr8Ni2Sn (PBE-GGA)

Data for a relaxed Pr8Ni2Sn crystal.

## Properties
Magnetic moment = 0.00 μB per cell
Final energy = -55.6 eV for the cell shown
Energy of formation from the pure elements = -0.168 eV per atom
Space group = No. 8
D(E_F) = 1.4203 states/eV/atom

```
11
Lattice="5.383 0.154 -0.838 -1.779 7.408 -3.208 0.224 -0.158 8.262" Properties=species:S:1:pos:R:3 pbc="T T T"
Pr 2.502 2.477 -0.896
Pr 3.001 0.593 1.960
Pr 0.435 2.885 1.827
Pr 5.098 1.917 4.571
Pr 4.098 5.695 -1.156
Pr 3.382 4.564 2.420
Pr 0.819 6.859 2.281
Pr 1.320 4.969 5.147
Ni 1.523 5.171 -0.076
Ni 2.290 2.271 4.319
Sn -0.004 0.022 0.015
```

***

(3)
## Pr12Ni5Sn (PBE-GGA)

Data for a relaxed Pr12Ni5Sn crystal.

## Properties
Magnetic moment = 0.00 μB per cell
Final energy = -95.0 eV for the cell shown
Energy of formation from the pure elements = -0.265 eV per atom
Space group = No. 71
D(E_F) = 1.0078 states/eV/atom

```
18
Lattice="-7.323 -0.100 4.706 4.851 -6.964 1.935 4.960 6.949 1.700" Properties=species:S:1:pos:R:3 pbc="T T T"
Pr 3.654 -0.898 5.192
Pr -1.166 0.782 3.149
Pr -2.099 3.488 5.681
Pr 4.587 -3.604 2.660
Pr 0.048 -2.219 5.195
Pr 2.440 2.103 3.146
Pr 5.917 2.098 4.434
Pr -3.428 -2.213 3.907
Pr 0.951 1.217 6.349
Pr 1.537 -1.333 1.992
Pr 7.343 -1.343 4.143
Pr -4.855 1.227 4.198
Ni -1.559 -4.455 4.188
Ni -0.913 -2.610 2.453
Ni 0.018 3.422 3.647
Ni 2.471 -3.538 4.694
Ni 0.000 0.000 0.000
Sn 4.905 -0.008 1.818
```

***

(4)
## PrNiSn2 (PBE-GGA)

Data for a relaxed PrNiSn2 crystal.

## Properties
Magnetic moment = 0.00 μB per cell
Final energy = -83.7 eV for the cell shown
Energy of formation from the pure elements = -0.588 eV per atom
Space group = No. 62
D(E_F) = 0.3574 states/eV/atom

```
16
Lattice="-2.616 2.825 -2.407 -4.895 -5.432 -1.055 -5.373 3.019 9.382" Properties=species:S:1:pos:R:3 pbc="T T T"
Pr -8.758 0.282 3.424
Pr -5.340 -3.280 -0.187
Pr -4.126 0.130 2.495
Pr -7.545 3.692 6.107
Ni -8.709 -2.126 0.545
Ni -7.816 0.492 6.930
Ni -4.176 2.538 5.374
Ni -5.068 -0.080 -1.010
Sn -5.701 3.018 3.313
Sn -2.717 -1.025 -0.392
Sn -7.184 -2.607 2.606
Sn -10.168 1.437 6.312
Sn -6.857 -0.276 0.704
Sn -9.423 -1.496 6.343
Sn -6.027 0.688 5.215
Sn -3.462 1.908 -0.424
```

***

(5)
## PrNiSn (PBE-GGA)

Data for a relaxed PrNiSn crystal.

## Properties
Magnetic moment = 0.00 μB per cell
Final energy = -16.2 eV for the cell shown
Energy of formation from the pure elements = -0.555 eV per atom
Space group = No. 187
D(E_F) = 0.6425 states/eV/atom

```
3
Lattice="3.879 0.000 0.000 0.000 4.556 0.000 0.000 -2.278 3.945" Properties=species:S:1:pos:R:3 pbc="T T T"
Pr 2.586 2.278 1.315
Ni 0.647 0.000 0.000
Sn 0.646 0.000 2.630
```

***

(6)
## Pr2NiSn4 (PBE-GGA)

Data for a relaxed Pr2NiSn4 crystal.

## Properties
Magnetic moment = 0.00 μB per cell
Final energy = -33.9 eV for the cell shown
Energy of formation from the pure elements = -0.366 eV per atom
Space group = No. 139
D(E_F) = 0.3113 states/eV/atom

```
7
Lattice="4.912 0.000 0.000 0.000 4.912 0.000 -2.456 -2.456 8.062" Properties=species:S:1:pos:R:3 pbc="T T T"
Pr 0.000 0.000 5.735
Pr 2.456 2.456 2.327
Ni 0.000 0.000 0.000
Sn 0.000 0.000 2.601
Sn 2.456 2.456 5.461
Sn 0.000 2.456 0.000
Sn 2.456 0.000 0.000
```

***

(7)
## Pr2Ni2Sn3 (PBE-GGA)

Data for a relaxed Pr2Ni2Sn3 crystal.

## Properties
ΔE to the lowest computed polymorph = 0.000 eV/atom
Magnetic moment = 0.00 μB per cell
Final energy = -74.1 eV for the cell shown
Energy of formation from the pure elements = -0.557 eV per atom
Space group = No. 63
D(E_F) = 0.5594 states/eV/atom

```
14
Lattice="4.429 0.000 -1.056 0.000 7.231 0.000 0.059 0.000 10.067" Properties=species:S:1:pos:R:3 pbc="T T T"
Pr 0.749 1.808 3.140
Pr 3.740 5.423 5.871
Pr 4.298 1.808 8.210
Pr 0.191 5.423 0.801
Ni 3.142 6.833 3.363
Ni 1.346 0.399 5.648
Ni 1.346 3.217 5.648
Ni 3.142 4.014 3.363
Sn 0.985 5.423 4.133
Sn 3.504 1.808 4.878
Sn 2.549 3.266 0.874
Sn 1.940 3.966 8.137
Sn 1.940 6.881 8.137
Sn 2.549 0.350 0.874
```

***

(8)
## PrZnNiSn (PBE-GGA)

Data for a relaxed PrZnNiSn crystal.

## Properties
Magnetic moment = 0.00 μB per cell
Final energy = -17.2 eV for the cell shown
Energy of formation from the pure elements = -0.342 eV per atom
Space group = No. 216
D(E_F) = 0.6332 states/eV/atom

```
4
Lattice="4.845 0.000 0.000 2.423 4.196 0.000 2.423 1.399 3.956" Properties=species:S:1:pos:R:3 pbc="T T T"
Pr 7.268 4.196 2.967
Ni 0.000 0.000 0.000
Zn 4.845 2.797 1.978
Sn 2.423 1.399 0.989
```

***

(9)
## SrPrNi4 (PBE-GGA)

Data for a relaxed SrPrNi4 crystal.

## Properties
Magnetic moment = 0.00 μB per cell
Final energy = -30.4 eV for the cell shown
Energy of formation from the pure elements = -0.131 eV per atom
Space group = No. 216
D(E_F) = 1.0236 states/eV/atom

```
6
Lattice="-3.838 -2.583 -2.425 0.750 -1.871 -4.818 0.398 -5.151 -0.768" Properties=species:S:1:pos:R:3 pbc="T T T"
Pr -0.673 -2.401 -2.003
Sr 0.000 0.000 0.000
Ni -1.879 -3.432 -4.621
Ni -2.054 -5.067 -2.602
Ni -1.680 -5.999 -5.004
Ni 0.233 -4.712 -3.795
```

***

(10)
## SrPrNi (PBE-GGA)

Data for a relaxed SrPrNi crystal.

## Properties
ΔE to the lowest computed polymorph = 0.131 eV/atom
Magnetic moment = 0.00 μB per cell
Final energy = -12.3 eV for the cell shown
Energy of formation from the pure elements = -0.034 eV per atom
Space group = No. 107
D(E_F) = 0.8991 states/eV/atom

```
3
Lattice="3.633 0.000 0.000 0.000 3.633 0.000 -1.817 -1.817 6.820" Properties=species:S:1:pos:R:3 pbc="T T T"
Pr 0.000 0.000 3.889
Sr 0.000 0.000 0.451
Ni 1.817 1.817 2.479
```

***

(11)
## SrPrNi (PBE-GGA)

Data for a relaxed SrPrNi crystal.

## Properties
ΔE to the lowest computed polymorph = 0.138 eV/atom
Magnetic moment = 0.00 μB per cell
Final energy = -49.3 eV for the cell shown
Energy of formation from the pure elements = -0.026 eV per atom
Space group = No. 14
D(E_F) = 1.0190 states/eV/atom

```
12
Lattice="-6.989 2.095 -0.439 -1.017 -4.819 -6.807 0.629 -5.766 3.988" Properties=species:S:1:pos:R:3 pbc="T T T"
Sr -4.018 -7.488 -3.117
Sr -7.096 -1.107 -1.990
Sr -3.359 -1.001 -0.141
Sr -0.280 -7.382 -1.268
Pr -0.872 -5.823 -4.840
Pr -3.269 -4.936 0.075
Pr -6.505 -2.666 1.582
Pr -4.108 -3.553 -3.333
Ni -5.881 -5.421 -4.387
Ni -5.250 -3.253 -0.832
Ni -1.495 -3.068 1.129
Ni -2.127 -5.236 -2.426
```

***

(12)
## SrPr3Ni (PBE-GGA)

Data for a relaxed SrPr3Ni crystal.

## Properties
Magnetic moment = 0.00 μB per cell
Final energy = -21.7 eV for the cell shown
Energy of formation from the pure elements = 0.024 eV per atom
Space group = No. 221
D(E_F) = 2.2448 states/eV/atom

```
5
Lattice="5.656 0.000 0.000 0.000 5.656 0.000 0.000 0.000 5.656" Properties=species:S:1:pos:R:3 pbc="T T T"
Pr 0.000 2.828 0.000
Pr 0.000 0.000 2.828
Pr 2.828 0.000 0.000
Sr 2.828 2.828 2.828
Ni 0.000 0.000 0.000
```